Crystalline Tb3CeH at its relaxed geometry. Source: the Alexandria database, functional GGA-PBE.

Lattice parameters (Å, degrees): 4.9898 4.9898 4.9898 90.00 90.00 90.00
Last column: nearest neighbours and their distance in Å.
Element x y z (fractional)
H 0.0000 0.0000 0.0000  6 Tb 2.49
Tb 0.0000 0.5000 0.0000  2 H 2.49
Tb 0.0000 0.0000 0.5000  2 H 2.49
Tb 0.5000 0.0000 0.0000  2 H 2.49
Ce 0.5000 0.5000 0.5000  12 Tb 3.53

Output
* energy: -4.7570 eV per atom
* crystal system: cubic

Crystalline TbCe3H8 at its relaxed geometry. Source: the Alexandria database, functional GGA-PBE.

Lattice parameters (Å, degrees): 5.3918 5.3918 5.3918 90.00 90.00 90.00
Last column: nearest neighbours and their distance in Å.
Element x y z (fractional)
Tb 0.0000 0.0000 0.0000  8 H 2.28
Ce 0.5000 0.5000 0.0000  8 H 2.35
Ce 0.5000 0.0000 0.5000  8 H 2.35
Ce 0.0000 0.5000 0.5000  8 H 2.35
H 0.2437 0.2437 0.7563  1 Tb 2.28, 3 Ce 2.35
H 0.2437 0.7563 0.2437  1 Tb 2.28, 3 Ce 2.35
H 0.7563 0.2437 0.2437  1 Tb 2.28, 3 Ce 2.35
H 0.7563 0.7563 0.7563  1 Tb 2.28, 3 Ce 2.35
H 0.7563 0.7563 0.2437  1 Tb 2.28, 3 Ce 2.35
H 0.7563 0.2437 0.7563  1 Tb 2.28, 3 Ce 2.35
H 0.2437 0.7563 0.7563  1 Tb 2.28, 3 Ce 2.35
H 0.2437 0.2437 0.2437  1 Tb 2.28, 3 Ce 2.35

Output
* energy: -4.6792 eV per atom
* crystal system: cubic

Crystalline TbCe2H at its relaxed geometry. Source: the Alexandria database, functional GGA-PBE.

Lattice parameters (Å, degrees): 3.2325 3.2325 8.4765 90.00 90.00 90.00
Last column: nearest neighbours and their distance in Å.
Element x y z (fractional)
H 0.5000 0.5000 0.0000  8 Ce 2.67
Tb 0.5000 0.5000 0.5000  4 Tb 3.23
Ce 0.0000 0.0000 0.8369  4 H 2.67, 1 Ce 2.76
Ce 0.0000 0.0000 0.1631  4 H 2.67, 1 Ce 2.76

Output
* crystal system: tetragonal
* ΔE to the lowest computed polymorph: 139 meV per atom

Crystalline TbCeH2 at its relaxed geometry. Source: the Alexandria database, functional GGA-PBE.

Lattice parameters (Å, degrees): 3.4943 3.4943 6.1852 73.59 73.59 60.00
Last column: nearest neighbours and their distance in Å.
Element x y z (fractional)
H 0.7465 0.7465 0.7606  3 Tb 2.46, 3 Ce 2.53
H 0.2535 0.2535 0.2394  3 Tb 2.46, 3 Ce 2.53
Tb 0.0000 0.0000 0.0000  6 H 2.46
Ce 0.5000 0.5000 0.5000  6 H 2.53

Output
* crystal system: trigonal
* ΔE to the lowest computed polymorph: 0 meV per atom

Crystalline Tb3CeH8 at its relaxed geometry. Source: the Alexandria database, functional GGA-PBE.

Lattice parameters (Å, degrees): 5.2875 5.2875 5.2875 90.00 90.00 90.00
Last column: nearest neighbours and their distance in Å.
Element x y z (fractional)
Tb 0.5000 0.5000 0.0000  8 H 2.27
Tb 0.5000 0.0000 0.5000  8 H 2.27
Tb 0.0000 0.5000 0.5000  8 H 2.27
Ce 0.0000 0.0000 0.0000  8 H 2.34
H 0.2559 0.2559 0.7441  3 Tb 2.27, 1 Ce 2.34
H 0.2559 0.7441 0.2559  3 Tb 2.27, 1 Ce 2.34
H 0.7441 0.2559 0.2559  3 Tb 2.27, 1 Ce 2.34
H 0.7441 0.7441 0.7441  3 Tb 2.27, 1 Ce 2.34
H 0.7441 0.7441 0.2559  3 Tb 2.27, 1 Ce 2.34
H 0.7441 0.2559 0.7441  3 Tb 2.27, 1 Ce 2.34
H 0.2559 0.7441 0.7441  3 Tb 2.27, 1 Ce 2.34
H 0.2559 0.2559 0.2559  3 Tb 2.27, 1 Ce 2.34

Output
* energy: -4.5519 eV per atom
* crystal system: cubic

Crystalline TbCeH at its relaxed geometry. Source: the Alexandria database, functional GGA-PBE.

Lattice parameters (Å, degrees): 3.5274 3.5274 5.8573 90.00 90.00 120.00
Last column: nearest neighbours and their distance in Å.
Element x y z (fractional)
H 0.3333 0.6667 0.6605  3 Tb 2.46, 3 Ce 2.52
Tb 0.6667 0.3333 0.4245  3 H 2.46
Ce 0.0000 0.0000 0.9150  3 H 2.52

Output
* crystal system: trigonal
* ΔE to the lowest computed polymorph: 34 meV per atom

Crystalline TbCe2H8 at its relaxed geometry. Source: the Alexandria database, functional GGA-PBE.

Lattice parameters (Å, degrees): 3.8288 5.2041 6.5937 113.24 106.88 90.00
Last column: nearest neighbours and their distance in Å.
Element x y z (fractional)
Tb 0.5000 0.0000 0.0000  8 H 2.22-2.32
Ce 0.1710 0.6710 0.3421  8 H 2.31-2.40
Ce 0.8290 0.3290 0.6579  8 H 2.31-2.40
H 0.6549 0.9000 0.3099  1 Tb 2.22, 3 Ce 2.31-2.40, 3 H 2.34
H 0.3451 0.5901 0.6901  1 Tb 2.22, 3 Ce 2.31-2.40, 3 H 2.34
H 0.1740 0.1740 0.3480  8 H 2.34-2.39, 4 Ce 2.60-2.62
H 0.0000 0.2529 0.0000  2 Tb 2.32, 2 Ce 2.35, 3 H 2.39-2.57
H 0.8260 0.8260 0.6520  8 H 2.34-2.39, 4 Ce 2.60-2.62
H 0.6549 0.4099 0.3099  1 Tb 2.22, 3 Ce 2.31-2.40, 3 H 2.34
H 0.3451 0.1000 0.6901  1 Tb 2.22, 3 Ce 2.31-2.40, 3 H 2.34
H 0.0000 0.7471 0.0000  2 Tb 2.32, 2 Ce 2.35, 3 H 2.39-2.57

Output
* energy: -4.4962 eV per atom
* crystal system: orthorhombic

Crystalline Tb2CeH at its relaxed geometry. Source: the Alexandria database, functional GGA-PBE.

Lattice parameters (Å, degrees): 3.2943 3.2943 8.5109 90.00 90.00 90.00
Last column: nearest neighbours and their distance in Å.
Element x y z (fractional)
H 0.5000 0.5000 0.0000  8 Tb 2.84
Tb 0.0000 0.0000 0.8100  4 H 2.84
Tb 0.0000 0.0000 0.1900  4 H 2.84
Ce 0.5000 0.5000 0.5000  4 Ce 3.29, 8 Tb 3.52

Output
* crystal system: tetragonal
* ΔE to the lowest computed polymorph: 151 meV per atom

Crystalline CeTcH at its relaxed geometry. Source: the Alexandria database, functional GGA-PBE.

Lattice parameters (Å, degrees): 4.7851 3.1924 3.1924 120.00 90.00 90.00
Last column: nearest neighbours and their distance in Å.
Element x y z (fractional)
H 0.0943 0.0000 0.0000  3 Tc 1.92
Tc 0.2079 0.3333 0.6667  3 H 1.92
Ce 0.6978 0.6667 0.3333  3 H 2.65

Output
* energy: -6.5035 eV per atom
* crystal system: trigonal

Crystalline CeTcH3 at its relaxed geometry. Source: the Alexandria database, functional GGA-PBE.

Lattice parameters (Å, degrees): 3.3564 5.9465 5.6133 79.12 90.00 89.99
Last column: nearest neighbours and their distance in Å.
Element x y z (fractional)
Ce 0.0431 0.7378 0.3590  6 H 2.26-2.52
Ce 0.0431 0.1790 0.8003  6 H 2.33-2.60, 1 Tc 2.35
Tc 0.5431 0.6740 0.8641  5 H 1.74-1.81
Tc 0.0433 0.3282 0.1589  3 H 1.73-1.93
H 0.5430 0.8983 0.6164  1 Tc 1.74
H 0.5433 0.4805 0.1882  3 Tc 1.93-1.96
H 0.0433 0.1068 0.4066  1 Tc 1.73
H 0.0430 0.7627 0.7933  2 Tc 1.78
H 0.5430 0.4859 0.6463  1 Tc 1.81
H 0.5430 0.8900 0.0436  1 Tc 1.78

Output
* crystal system: monoclinic
* ΔE to the lowest computed polymorph: 74 meV per atom

Repeat the tenth record exactly.
Crystalline CeTcH3 at its relaxed geometry. Source: the Alexandria database, functional GGA-PBE.

Lattice parameters (Å, degrees): 3.3564 5.9465 5.6133 79.12 90.00 89.99
Last column: nearest neighbours and their distance in Å.
Element x y z (fractional)
Ce 0.0431 0.7378 0.3590  6 H 2.26-2.52
Ce 0.0431 0.1790 0.8003  6 H 2.33-2.60, 1 Tc 2.35
Tc 0.5431 0.6740 0.8641  5 H 1.74-1.81
Tc 0.0433 0.3282 0.1589  3 H 1.73-1.93
H 0.5430 0.8983 0.6164  1 Tc 1.74
H 0.5433 0.4805 0.1882  3 Tc 1.93-1.96
H 0.0433 0.1068 0.4066  1 Tc 1.73
H 0.0430 0.7627 0.7933  2 Tc 1.78
H 0.5430 0.4859 0.6463  1 Tc 1.81
H 0.5430 0.8900 0.0436  1 Tc 1.78

Output
* crystal system: monoclinic
* ΔE to the lowest computed polymorph: 74 meV per atom

- Number 9 is which compound?
  CeTcH